# 1
Density functional theory data (PBE-GGA) for an optimized crystal structure of K2ScRe.

a b c (Å): 2.916 6.254 5.655
angles (deg): 90.00 90.00 90.00
Site moments in Bohr magnetons follow the coordinates.
Fractional coordinates of all 4 atoms:
Re (0.500, 0.500, 0.250)  0.18
K (0.000, 0.000, 0.009)  -0.03
K (0.000, 0.000, 0.491)  -0.03
Sc (0.500, 0.500, 0.750)  -0.31

Total magnetization in μB per cell: 0.549
Fermi-level density of states in states/eV per cell: 5.39
DFT total energy in eV/atom: -3.930
Space group: Pmmm
Offset from the most stable computed form in eV/atom: 0.604

***

# 2
Density functional theory data (PBE-GGA) for an optimized crystal structure of KSc2Re.

a b c (Å): 4.179 4.179 9.421
angles (deg): 85.45 85.45 45.83
Fractional coordinates of all 4 atoms:
Sc (0.026, 0.026, 0.898)
Re (0.750, 0.750, 0.750)
Sc (0.474, 0.474, 0.602)
K (0.250, 0.250, 0.250)

Total magnetization in μB per cell: 0.000
Fermi-level density of states in states/eV per cell: 3.00
DFT total energy in eV/atom: -6.153
Space group: C2/m
Offset from the most stable computed form in eV/atom: 0.245

***

# 3
Density functional theory data (PBE-GGA) for an optimized crystal structure of KSc2Re.

a b c (Å): 4.697 3.047 8.172
angles (deg): 80.87 90.00 90.00
Fractional coordinates of all 4 atoms:
Re (0.500, 0.699, 0.874)
K (0.000, 0.561, 0.529)
Sc (0.500, 0.230, 0.152)
Sc (0.000, 0.009, 0.944)

Total magnetization in μB per cell: 0.000
Fermi-level density of states in states/eV per cell: 4.93
DFT total energy in eV/atom: -5.994
Space group: Pm
Offset from the most stable computed form in eV/atom: 0.404

***

# 4
Density functional theory data (PBE-GGA) for an optimized crystal structure of KSc4Re.

a b c (Å): 5.890 5.890 5.890
angles (deg): 60.00 60.00 60.00
Fractional coordinates of all 6 atoms:
Sc (0.370, 0.889, 0.370)
K (0.750, 0.750, 0.750)
Sc (0.370, 0.370, 0.889)
Sc (0.889, 0.370, 0.370)
Re (0.000, 0.000, 0.000)
Sc (0.370, 0.370, 0.370)

Total magnetization in μB per cell: 0.028
Fermi-level density of states in states/eV per cell: 10.22
DFT total energy in eV/atom: -5.465
Space group: F-43m

***

# 5
Density functional theory data (PBE-GGA) for an optimized crystal structure of KSc2Re.

a b c (Å): 8.942 8.942 8.942
angles (deg): 159.19 151.01 35.95
Fractional coordinates of all 4 atoms:
Re (0.231, 0.731, 0.500)
Sc (0.740, 0.240, 0.500)
Sc (0.110, 0.110, 0.000)
K (0.419, 0.419, 0.000)

Total magnetization in μB per cell: 0.000
Fermi-level density of states in states/eV per cell: 4.50
DFT total energy in eV/atom: -6.043
Space group: Imm2
Offset from the most stable computed form in eV/atom: 0.354

***

# 6
Density functional theory data (PBE-GGA) for an optimized crystal structure of KSc2Re.

a b c (Å): 5.740 5.740 2.941
angles (deg): 77.94 77.94 107.97
Fractional coordinates of all 4 atoms:
Sc (0.000, 0.000, 0.000)
Sc (0.500, 0.500, 0.000)
Re (0.000, 0.500, 0.500)
K (0.500, 0.000, 0.500)

Total magnetization in μB per cell: 0.000
Fermi-level density of states in states/eV per cell: 3.87
DFT total energy in eV/atom: -5.634
Space group: C2/m
Offset from the most stable computed form in eV/atom: 0.763